[1]
Compound: In3IrBr
Source: Alexandria
Functional: GGA-PBE
Structure: relaxed

abc: 5.754 5.754 5.754
angles: 90.00 90.00 90.00
Space group Pm-3m (No. 221)
Symmetry-distinct sites (fractional):
In (0.000, 0.000, 0.500)
Ir (0.500, 0.500, 0.500)
Br (0.000, 0.000, 0.000)

Properties
* V: 38.1 A^3/atom
* ΔE_f (raw): 1181 meV per atom
* DFT total energy: -2.569 eV/atom
* magnetic moment: 1.2 μB per cell
* E above lowest polymorph: 1.558 eV per atom

***

[2]
Compound: W3Br
Source: Alexandria
Functional: GGA-PBE
Structure: relaxed

abc: 3.874 3.874 8.963
angles: 90.00 90.00 90.00
Space group I4/mmm (No. 139)
Symmetry-distinct sites (fractional):
W (0.000, 0.000, 0.000)
W (0.000, 0.500, 0.250)
Br (0.000, 0.000, 0.500)

Properties
* V: 16.8 A^3/atom
* ΔE_f (raw): 1411 meV per atom
* DFT total energy: -8.722 eV/atom
* magnetic moment: 0.0 μB per cell
* E above lowest polymorph: 0.678 eV per atom

***

[3]
Compound: LiAg3Au4
Source: Alexandria
Functional: GGA-PBE
Structure: relaxed

abc: 2.946 4.844 19.602
angles: 90.00 90.00 90.00
Space group Immm (No. 71)
Symmetry-distinct sites (fractional):
Li (0.000, 0.000, 0.000)
Ag (0.000, 0.000, 0.500)
Ag (0.000, 0.500, 0.129)
Au (0.000, 0.000, 0.241)
Au (0.000, 0.500, 0.391)

Properties
* V: 17.5 A^3/atom
* DFT total energy: -3.066 eV/atom
* E_form: -11 kJ per mole of atoms
* magnetic moment: 0.0 μB per cell
* E above lowest polymorph: 0.053 eV per atom

***

- Which value of E above lowest polymorph does entry 2 give?
  0.678 eV per atom

***

What did the third record say?
Compound: LiAg3Au4
Source: Alexandria
Functional: GGA-PBE
Structure: relaxed

abc: 2.946 4.844 19.602
angles: 90.00 90.00 90.00
Space group Immm (No. 71)
Symmetry-distinct sites (fractional):
Li (0.000, 0.000, 0.000)
Ag (0.000, 0.000, 0.500)
Ag (0.000, 0.500, 0.129)
Au (0.000, 0.000, 0.241)
Au (0.000, 0.500, 0.391)

Properties
* V: 17.5 A^3/atom
* DFT total energy: -3.066 eV/atom
* E_form: -11 kJ per mole of atoms
* magnetic moment: 0.0 μB per cell
* E above lowest polymorph: 0.053 eV per atom